First-principles (PBE-GGA) data for a geometry-optimized HfGeB2 structure, as listed in Alexandria via LeMat-Bulk.

abc: 4.280 4.280 4.280
angles: 60.00 60.00 60.00
Fractional positions:
Hf 0.000 0.000 0.000
Ge 0.750 0.750 0.750
B 0.250 0.250 0.250
B 0.500 0.500 0.500

Summary:
- Energy relative to the elements: 1.28 eV per atom
- DFT total energy: -22.8 eV/f.u.
- SG: F-43m, No. 216
- Magnetic moment: 0.000 Bohr magnetons per cell